A relaxed Gd3Si2Ag4Ge2 crystal. Source: OQMD via LeMat-Bulk, functional PBE-GGA.

## Properties
* VASP energy: -4.65 eV/atom
* total moment: 0.000 μB/atom

a b c (Å): 8.3601 8.3601 8.3601
angles (deg): 150.09 129.68 59.65
Element x y z (fractional)
Gd (0.0000, 0.0000, 0.0000)
Gd (0.3739, 0.8739, 0.5000)
Gd (0.6261, 0.1261, 0.5000)
Si (0.2168, 0.2168, 0.0000)
Si (0.7832, 0.7832, 0.0000)
Ag (0.0237, 0.3270, 0.6967)
Ag (0.3698, 0.6730, 0.6967)
Ag (0.6302, 0.3270, 0.3033)
Ag (0.9763, 0.6730, 0.3033)
Ge (0.3156, 0.5000, 0.8156)
Ge (0.6844, 0.5000, 0.1844)

A relaxed Lu3Co4Ge13 crystal. Source: OQMD via LeMat-Bulk, functional PBE-GGA.

## Properties
* VASP energy: -5.49 eV/atom
* total moment: 0.000 μB/atom

a b c (Å): 8.7229 8.7229 8.7229
angles (deg): 90.00 90.00 90.00
Element x y z (fractional)
Lu (0.0000, 0.2500, 0.5000)
Lu (0.0000, 0.7500, 0.5000)
Lu (0.2500, 0.5000, 0.0000)
Lu (0.5000, 0.0000, 0.2500)
Lu (0.5000, 0.0000, 0.7500)
Lu (0.7500, 0.5000, 0.0000)
Co (0.2500, 0.2500, 0.2500)
Co (0.2500, 0.2500, 0.7500)
Co (0.2500, 0.7500, 0.2500)
Co (0.2500, 0.7500, 0.7500)
Co (0.7500, 0.2500, 0.2500)
Co (0.7500, 0.2500, 0.7500)
Co (0.7500, 0.7500, 0.2500)
Co (0.7500, 0.7500, 0.7500)
Ge (0.0000, 0.0000, 0.0000)
Ge (0.0000, 0.3056, 0.1529)
Ge (0.0000, 0.3056, 0.8471)
Ge (0.0000, 0.6944, 0.1529)
Ge (0.0000, 0.6944, 0.8471)
Ge (0.1529, 0.0000, 0.3056)
Ge (0.1529, 0.0000, 0.6944)
Ge (0.1944, 0.5000, 0.3471)
Ge (0.1944, 0.5000, 0.6529)
Ge (0.3056, 0.1529, 0.0000)
Ge (0.3056, 0.8471, 0.0000)
Ge (0.3471, 0.1944, 0.5000)
Ge (0.3471, 0.8056, 0.5000)
Ge (0.5000, 0.3471, 0.1944)
Ge (0.5000, 0.3471, 0.8056)
Ge (0.5000, 0.5000, 0.5000)
Ge (0.5000, 0.6529, 0.1944)
Ge (0.5000, 0.6529, 0.8056)
Ge (0.6529, 0.1944, 0.5000)
Ge (0.6529, 0.8056, 0.5000)
Ge (0.6944, 0.1529, 0.0000)
Ge (0.6944, 0.8471, 0.0000)
Ge (0.8056, 0.5000, 0.3471)
Ge (0.8056, 0.5000, 0.6529)
Ge (0.8471, 0.0000, 0.3056)
Ge (0.8471, 0.0000, 0.6944)

What did the first record say?
A relaxed Gd3Si2Ag4Ge2 crystal. Source: OQMD via LeMat-Bulk, functional PBE-GGA.

## Properties
* VASP energy: -4.65 eV/atom
* total moment: 0.000 μB/atom

a b c (Å): 8.3601 8.3601 8.3601
angles (deg): 150.09 129.68 59.65
Element x y z (fractional)
Gd (0.0000, 0.0000, 0.0000)
Gd (0.3739, 0.8739, 0.5000)
Gd (0.6261, 0.1261, 0.5000)
Si (0.2168, 0.2168, 0.0000)
Si (0.7832, 0.7832, 0.0000)
Ag (0.0237, 0.3270, 0.6967)
Ag (0.3698, 0.6730, 0.6967)
Ag (0.6302, 0.3270, 0.3033)
Ag (0.9763, 0.6730, 0.3033)
Ge (0.3156, 0.5000, 0.8156)
Ge (0.6844, 0.5000, 0.1844)

total moment of number 1 (Gd3Si2Ag4Ge2)?
0.000 μB/atom

Number 1 is which compound?
Gd3Si2Ag4Ge2